Material: HfZrAgOs
Method: DFT, PBE-GGA
State: relaxed

Values from the calculation:
As for the total energy: -134.67 eV per cell.

Cell: 6.681 6.681 6.681 Å, 90.00 90.00 90.00°
Space group F-43m (No. 216)
Symmetry-distinct sites (fractional):
Hf1 0.000 0.000 0.000
Zr1 0.000 0.000 0.500
Ag1 0.250 0.250 0.750
Os1 0.250 0.250 0.250